Entry from the Alexandria database: a relaxed structure of AcBiPdRu (PBE-GGA).

SG: No. 216
E_form (meV per atom): -153
N(E_F) (states/eV per atom): 1.009

Lattice parameters (Å, degrees): 5.0685 5.0685 5.0685 60.00 60.00 60.00
Fractional positions:
Bi 0.5000 0.5000 0.5000
Ru 0.7500 0.7500 0.7500
Pd 0.2500 0.2500 0.2500
Ac 0.0000 0.0000 0.0000

=====

Entry from the Alexandria database: a relaxed structure of Ac3BiSb2Pd9 (PBE-GGA).

SG: No. 164
Formation energy (no corrections) (meV per atom): -597
N(E_F) (states/eV per atom): 0.364

Lattice parameters (Å, degrees): 5.9387 5.9387 12.4480 90.00 90.00 120.00
Fractional positions:
Pd 0.1646 0.3293 0.3278
Pd 0.1646 0.8354 0.3278
Pd 0.0000 0.5000 0.0000
Pd 0.5000 0.5000 0.0000
Pd 0.6707 0.8354 0.3278
Pd 0.8354 0.1646 0.6722
Pd 0.5000 0.0000 0.0000
Pd 0.3293 0.1646 0.6722
Pd 0.8354 0.6707 0.6722
Ac 0.0000 0.0000 0.0000
Ac 0.3333 0.6667 0.7499
Ac 0.6667 0.3333 0.2501
Bi 0.0000 0.0000 0.5000
Sb 0.6667 0.3333 0.8351
Sb 0.3333 0.6667 0.1649

=====

Entry from the Alexandria database: a relaxed structure of Ac2BiSb3Pd6 (PBE-GGA).

SG: No. 123
Formation energy (no corrections) (meV per atom): -509
N(E_F) (states/eV per atom): 0.710

Lattice parameters (Å, degrees): 4.4677 4.4677 16.2173 90.00 90.00 90.00
Fractional positions:
Pd 0.5000 0.0000 0.6030
Pd 0.5000 0.0000 0.3970
Pd 0.0000 0.5000 0.3970
Pd 0.0000 0.0000 0.1536
Pd 0.0000 0.0000 0.8464
Pd 0.0000 0.5000 0.6030
Sb 0.0000 0.0000 0.0000
Sb 0.0000 0.0000 0.6881
Sb 0.0000 0.0000 0.3119
Bi 0.5000 0.5000 0.5000
Ac 0.5000 0.5000 0.2078
Ac 0.5000 0.5000 0.7922

=====

Entry from the Alexandria database: a relaxed structure of Ac2BiSb3Pd4 (PBE-GGA).

SG: No. 115
Formation energy (no corrections) (meV per atom): -851
N(E_F) (states/eV per atom): 0.419

Lattice parameters (Å, degrees): 4.7577 4.7577 10.8740 90.00 90.00 90.00
Fractional positions:
Ac 0.0000 0.5000 0.7663
Ac 0.5000 0.0000 0.2337
Pd 0.0000 0.0000 0.0000
Pd 0.5000 0.5000 0.0000
Pd 0.0000 0.5000 0.3664
Pd 0.5000 0.0000 0.6336
Sb 0.5000 0.0000 0.8759
Sb 0.0000 0.0000 0.5000
Sb 0.0000 0.5000 0.1241
Bi 0.5000 0.5000 0.5000

=====

Entry from the Alexandria database: a relaxed structure of Ac3Bi2Sb2Pd4 (PBE-GGA).

SG: No. 164
Formation energy (no corrections) (meV per atom): -831
N(E_F) (states/eV per atom): 0.422

Lattice parameters (Å, degrees): 4.7111 4.7111 16.0416 90.00 90.00 120.00
Fractional positions:
Ac 0.0000 0.0000 0.7301
Ac 0.0000 0.0000 0.0000
Ac 0.0000 0.0000 0.2699
Bi 0.3333 0.6667 0.5800
Bi 0.6667 0.3333 0.4200
Pd 0.6667 0.3333 0.1397
Pd 0.3333 0.6667 0.3986
Pd 0.6667 0.3333 0.6014
Pd 0.3333 0.6667 0.8603
Sb 0.6667 0.3333 0.8684
Sb 0.3333 0.6667 0.1316

=====

Entry from the Alexandria database: a relaxed structure of Ac3BiSb2Pd6 (PBE-GGA).

SG: No. 164
Formation energy (no corrections) (meV per atom): -762
N(E_F) (states/eV per atom): 0.386

Lattice parameters (Å, degrees): 5.9152 5.9152 10.2611 90.00 90.00 120.00
Fractional positions:
Ac 0.0000 0.0000 0.0000
Ac 0.6667 0.3333 0.3712
Ac 0.3333 0.6667 0.6288
Bi 0.0000 0.0000 0.5000
Sb 0.6667 0.3333 0.9156
Sb 0.3333 0.6667 0.0844
Pd 0.1682 0.8318 0.2840
Pd 0.8318 0.1682 0.7160
Pd 0.8318 0.6635 0.7160
Pd 0.6635 0.8318 0.2840
Pd 0.1682 0.3365 0.2840
Pd 0.3365 0.1682 0.7160

=====

Entry from the Alexandria database: a relaxed structure of Ac2BiSbPd6 (PBE-GGA).

SG: No. 2
Formation energy (no corrections) (meV per atom): -648
N(E_F) (states/eV per atom): 0.530

Lattice parameters (Å, degrees): 7.2068 6.9474 9.0527 51.52 48.98 82.26
Fractional positions:
Pd 0.7423 0.7564 0.0080
Pd 0.2415 0.2561 0.5077
Pd 0.7505 0.2486 0.1696
Pd 0.2577 0.2436 0.9920
Pd 0.2494 0.7514 0.8304
Pd 0.7585 0.7439 0.4923
Ac 0.2522 0.7475 0.4732
Ac 0.7478 0.2525 0.5268
Bi 0.5000 0.5000 0.0000
Sb 0.0000 0.0000 0.0000

=====

Entry from the Alexandria database: a relaxed structure of AcBiSbPd (PBE-GGA).

SG: No. 216
Formation energy (no corrections) (meV per atom): -444
N(E_F) (states/eV per atom): 0.652

Lattice parameters (Å, degrees): 5.4256 5.4256 5.4256 60.00 60.00 60.00
Fractional positions:
Bi 0.2500 0.2500 0.2500
Ac 0.7500 0.7500 0.7500
Sb 0.5000 0.5000 0.5000
Pd 0.0000 0.0000 0.0000

=====

Entry from the Alexandria database: a relaxed structure of Ac2Bi3SbPd4 (PBE-GGA).

SG: No. 115
Formation energy (no corrections) (meV per atom): -717
N(E_F) (states/eV per atom): 0.423

Lattice parameters (Å, degrees): 4.8915 4.8915 10.7302 90.00 90.00 90.00
Fractional positions:
Pd 0.5000 0.0000 0.6188
Pd 0.5000 0.5000 0.0000
Pd 0.0000 0.0000 0.0000
Pd 0.0000 0.5000 0.3812
Bi 0.5000 0.0000 0.8726
Bi 0.0000 0.5000 0.1274
Bi 0.0000 0.0000 0.5000
Sb 0.5000 0.5000 0.5000
Ac 0.0000 0.5000 0.7605
Ac 0.5000 0.0000 0.2395

=====

Entry from the Alexandria database: a relaxed structure of AcBi2Sb2Pd7 (PBE-GGA).

SG: No. 12
Formation energy (no corrections) (meV per atom): -405
N(E_F) (states/eV per atom): 0.440

Lattice parameters (Å, degrees): 4.2025 4.2025 15.8384 78.91 78.91 89.62
Fractional positions:
Pd 0.7893 0.7893 0.5729
Pd 0.3933 0.8930 0.1482
Pd 0.8930 0.3933 0.1482
Pd 0.6067 0.1070 0.8518
Pd 0.5000 0.5000 0.0000
Pd 0.2107 0.2107 0.4271
Pd 0.1070 0.6067 0.8518
Sb 0.3165 0.3165 0.2547
Sb 0.6835 0.6835 0.7453
Ac 0.0000 0.0000 0.0000
Bi 0.2826 0.2826 0.5927
Bi 0.7174 0.7174 0.4073

=====

Entry from the Alexandria database: a relaxed structure of AcBiPdSe3 (PBE-GGA).

SG: No. 11
Formation energy (no corrections) (meV per atom): -947

Lattice parameters (Å, degrees): 4.2038 8.5225 9.4543 104.35 90.00 90.00
Fractional positions:
Bi 0.2500 0.6913 0.1924
Bi 0.7500 0.3087 0.8076
Se 0.2500 0.7608 0.4996
Se 0.7500 0.2392 0.5004
Se 0.2500 0.0744 0.8829
Se 0.7500 0.4237 0.1526
Se 0.7500 0.9256 0.1171
Se 0.2500 0.5763 0.8474
Ac 0.2500 0.1957 0.2521
Ac 0.7500 0.8043 0.7479
Pd 0.2500 0.0994 0.6193
Pd 0.7500 0.9006 0.3807

=====

Entry from the Alexandria database: a relaxed structure of Ac2SiBiPd6 (PBE-GGA).

SG: No. 166
Formation energy (no corrections) (meV per atom): -691
N(E_F) (states/eV per atom): 0.630

Lattice parameters (Å, degrees): 6.4499 6.4499 13.0139 75.65 75.65 60.00
Fractional positions:
Pd 0.3366 0.3366 0.4136
Pd 0.9132 0.3366 0.4136
Pd 0.7858 0.3455 0.0830
Pd 0.0868 0.6634 0.5864
Pd 0.3366 0.9132 0.4136
Pd 0.6545 0.2142 0.9170
Pd 0.2142 0.6545 0.9170
Pd 0.7858 0.7858 0.0830
Pd 0.6634 0.6634 0.5864
Pd 0.6634 0.0868 0.5864
Pd 0.2142 0.2142 0.9170
Pd 0.3455 0.7858 0.0830
Bi 0.4208 0.4208 0.7376
Bi 0.5792 0.5792 0.2624
Ac 0.8820 0.8820 0.3539
Ac 0.1180 0.1180 0.6461
Ac 0.7169 0.7169 0.8494
Ac 0.2831 0.2831 0.1506
Si 0.5000 0.5000 0.5000
Si 0.0000 0.0000 0.0000

=====

Entry from the Alexandria database: a relaxed structure of Ac3Si2BiPd9 (PBE-GGA).

SG: No. 164
Formation energy (no corrections) (meV per atom): -631
N(E_F) (states/eV per atom): 0.452

Lattice parameters (Å, degrees): 7.3310 7.3310 7.3414 90.00 90.00 120.00
Fractional positions:
Ac 0.6667 0.3333 0.3329
Ac 0.0000 0.0000 0.0000
Ac 0.3333 0.6667 0.6671
Pd 0.1880 0.3759 0.3229
Pd 0.3759 0.1880 0.6771
Pd 0.5000 0.5000 0.0000
Pd 0.1880 0.8120 0.3229
Pd 0.8120 0.6241 0.6771
Pd 0.8120 0.1880 0.6771
Pd 0.5000 0.0000 0.0000
Pd 0.6241 0.8120 0.3229
Pd 0.0000 0.5000 0.0000
Si 0.6667 0.3333 0.8703
Si 0.3333 0.6667 0.1297
Bi 0.0000 0.0000 0.5000

=====

Entry from the Alexandria database: a relaxed structure of AcSmBiPd (PBE-GGA).

SG: No. 216
E_form (meV per atom): -611
N(E_F) (states/eV per atom): 0.825

Lattice parameters (Å, degrees): 5.5150 5.5150 5.5150 60.00 60.00 60.00
Fractional positions:
Sm 0.2500 0.2500 0.2500
Bi 0.5000 0.5000 0.5000
Pd 0.0000 0.0000 0.0000
Ac 0.7500 0.7500 0.7500

=====

Entry from the Alexandria database: a relaxed structure of Ac3Sn2BiPd9 (PBE-GGA).

SG: No. 164
E_form (meV per atom): -503
N(E_F) (states/eV per atom): 0.338

Lattice parameters (Å, degrees): 6.8702 6.8702 9.6967 90.00 90.00 120.00
Fractional positions:
Pd 0.5000 0.0000 0.0000
Pd 0.0000 0.5000 0.0000
Pd 0.1347 0.8653 0.2744
Pd 0.2694 0.1347 0.7256
Pd 0.8653 0.7306 0.7256
Pd 0.8653 0.1347 0.7256
Pd 0.5000 0.5000 0.0000
Pd 0.1347 0.2694 0.2744
Pd 0.7306 0.8653 0.2744
Sn 0.3333 0.6667 0.1825
Sn 0.6667 0.3333 0.8175
Ac 0.3333 0.6667 0.7401
Ac 0.6667 0.3333 0.2599
Ac 0.0000 0.0000 0.0000
Bi 0.0000 0.0000 0.5000

=====

Entry from the Alexandria database: a relaxed structure of Ac2Sn3BiPd4 (PBE-GGA).

SG: No. 115
E_form (meV per atom): -778
N(E_F) (states/eV per atom): 0.661

Lattice parameters (Å, degrees): 4.7456 4.7456 10.9446 90.00 90.00 90.00
Fractional positions:
Pd 0.0000 0.0000 0.0000
Pd 0.0000 0.5000 0.3623
Pd 0.5000 0.0000 0.6377
Pd 0.5000 0.5000 0.0000
Ac 0.0000 0.5000 0.7635
Ac 0.5000 0.0000 0.2365
Bi 0.5000 0.5000 0.5000
Sn 0.5000 0.0000 0.8796
Sn 0.0000 0.0000 0.5000
Sn 0.0000 0.5000 0.1204

=====

Entry from the Alexandria database: a relaxed structure of AcSnBiPd (PBE-GGA).

SG: No. 216
E_form (meV per atom): -403
N(E_F) (states/eV per atom): 0.425

Lattice parameters (Å, degrees): 5.4206 5.4206 5.4206 60.00 60.00 60.00
Fractional positions:
Sn 0.2500 0.2500 0.2500
Ac 0.5000 0.5000 0.5000
Bi 0.0000 0.0000 0.0000
Pd 0.7500 0.7500 0.7500

=====

Entry from the Alexandria database: a relaxed structure of Ac3SnBi2Pd9 (PBE-GGA).

SG: No. 164
E_form (meV per atom): -452
N(E_F) (states/eV per atom): 0.486

Lattice parameters (Å, degrees): 7.0521 7.0521 9.3426 90.00 90.00 120.00
Fractional positions:
Pd 0.1305 0.8695 0.2761
Pd 0.8695 0.1305 0.7239
Pd 0.1305 0.2609 0.2761
Pd 0.7391 0.8695 0.2761
Pd 0.5000 0.0000 0.0000
Pd 0.2609 0.1305 0.7239
Pd 0.5000 0.5000 0.0000
Pd 0.0000 0.5000 0.0000
Pd 0.8695 0.7391 0.7239
Bi 0.6667 0.3333 0.8021
Bi 0.3333 0.6667 0.1979
Ac 0.0000 0.0000 0.0000
Ac 0.6667 0.3333 0.2614
Ac 0.3333 0.6667 0.7386
Sn 0.0000 0.0000 0.5000

=====

Entry from the Alexandria database: a relaxed structure of Ac2Sn4BiPd3 (PBE-GGA).

SG: No. 115
E_form (meV per atom): -630
N(E_F) (states/eV per atom): 0.595

Lattice parameters (Å, degrees): 4.7832 4.7832 11.3671 90.00 90.00 90.00
Fractional positions:
Pd 0.0000 0.0000 0.5000
Pd 0.0000 0.5000 0.1175
Pd 0.5000 0.0000 0.8825
Sn 0.5000 0.0000 0.6525
Sn 0.0000 0.0000 0.0000
Sn 0.5000 0.5000 0.0000
Sn 0.0000 0.5000 0.3475
Bi 0.5000 0.5000 0.5000
Ac 0.0000 0.5000 0.7639
Ac 0.5000 0.0000 0.2361

=====

Entry from the Alexandria database: a relaxed structure of Ac2SnBi3Pd4 (PBE-GGA).

SG: No. 115
E_form (meV per atom): -703
N(E_F) (states/eV per atom): 0.610

Lattice parameters (Å, degrees): 4.8227 4.8227 11.0163 90.00 90.00 90.00
Fractional positions:
Bi 0.5000 0.0000 0.8713
Bi 0.0000 0.5000 0.1287
Bi 0.0000 0.0000 0.5000
Ac 0.5000 0.0000 0.2380
Ac 0.0000 0.5000 0.7620
Sn 0.5000 0.5000 0.5000
Pd 0.0000 0.0000 0.0000
Pd 0.5000 0.0000 0.6248
Pd 0.0000 0.5000 0.3752
Pd 0.5000 0.5000 0.0000

=====

Entry from the Alexandria database: a relaxed structure of AcTbBiPd (PBE-GGA).

SG: No. 216
E_form (meV per atom): -590
N(E_F) (states/eV per atom): 0.918

Lattice parameters (Å, degrees): 5.4798 5.4798 5.4798 60.00 60.00 60.00
Fractional positions:
Bi 0.5000 0.5000 0.5000
Pd 0.0000 0.0000 0.0000
Tb 0.7500 0.7500 0.7500
Ac 0.2500 0.2500 0.2500

=====

Entry from the Alexandria database: a relaxed structure of AcThBiPd (PBE-GGA).

SG: No. 216
E_form (meV per atom): -444
N(E_F) (states/eV per atom): 1.070

Lattice parameters (Å, degrees): 5.5388 5.5388 5.5388 60.00 60.00 60.00
Fractional positions:
Th 0.2500 0.2500 0.2500
Ac 0.7500 0.7500 0.7500
Bi 0.5000 0.5000 0.5000
Pd 0.0000 0.0000 0.0000